# 1
Here is an optimized crystal structure of ZnAgBiO2 from the Alexandria database. Energies are from PBE.

Cell and atoms, written as CIF:
```
data_ZnAgBiO2
_chemical_formula_sum 'Zn1 Ag1 Bi1 O2'
_symmetry_space_group_name_H-M 'P 4/m m m'
_symmetry_Int_Tables_number 123
_symmetry_space_group_name_Hall '-P 4 2'
_cell_length_a 4.162
_cell_length_b 4.162
_cell_length_c 4.974
_cell_angle_alpha 90.00
_cell_angle_beta 90.00
_cell_angle_gamma 90.00
loop_
_atom_site_label
_atom_site_type_symbol
_atom_site_fract_x
_atom_site_fract_y
_atom_site_fract_z
_atom_site_occupancy
Zn1 Zn 0.000 0.000 0.000 1
Ag1 Ag 0.000 0.000 0.500 1
Bi1 Bi 0.500 0.500 0.000 1
O1 O 0.000 0.500 0.500 1
```

# 2
Here is an optimized crystal structure of SrPmUO6 from the Alexandria database. Energies are from PBE.

Cell and atoms, written as CIF:
```
data_SrPmUO6
_chemical_formula_sum 'Sr2 Pm2 U2 O12'
_symmetry_space_group_name_H-M 'P 42 n m'
_symmetry_Int_Tables_number 102
_symmetry_space_group_name_Hall 'P 4n -2n'
_cell_length_a 5.293
_cell_length_b 5.293
_cell_length_c 10.840
_cell_angle_alpha 90.00
_cell_angle_beta 90.00
_cell_angle_gamma 90.00
loop_
_atom_site_label
_atom_site_type_symbol
_atom_site_fract_x
_atom_site_fract_y
_atom_site_fract_z
_atom_site_occupancy
Sr1 Sr 0.000 0.000 0.000 1
Pm1 Pm 0.000 0.000 0.668 1
U1 U 0.000 0.000 0.335 1
O1 O 0.173 0.173 0.484 1
O2 O 0.188 0.188 0.194 1
O3 O 0.222 0.222 0.825 1
```

# 3
Here is an optimized crystal structure of OsRuPt from the Alexandria database. Energies are from PBE.

Cell and atoms, written as CIF:
```
data_OsRuPt
_chemical_formula_sum 'Os4 Ru4 Pt4'
_symmetry_space_group_name_H-M 'F -4 3 m'
_symmetry_Int_Tables_number 216
_symmetry_space_group_name_Hall 'F -4 2 3'
_cell_length_a 5.940
_cell_length_b 5.940
_cell_length_c 5.940
_cell_angle_alpha 90.00
_cell_angle_beta 90.00
_cell_angle_gamma 90.00
loop_
_atom_site_label
_atom_site_type_symbol
_atom_site_fract_x
_atom_site_fract_y
_atom_site_fract_z
_atom_site_occupancy
Os1 Os 0.000 0.000 0.000 1
Ru1 Ru 0.250 0.250 0.750 1
Pt1 Pt 0.250 0.250 0.250 1
```

# 4
Here is an optimized crystal structure of CaBiTeN2 from the Alexandria database. Energies are from PBE.

Cell and atoms, written as CIF:
```
data_CaBiTeN2
_chemical_formula_sum 'Ca1 Bi1 Te1 N2'
_symmetry_space_group_name_H-M 'P 4/m m m'
_symmetry_Int_Tables_number 123
_symmetry_space_group_name_Hall '-P 4 2'
_cell_length_a 4.647
_cell_length_b 4.647
_cell_length_c 6.206
_cell_angle_alpha 90.00
_cell_angle_beta 90.00
_cell_angle_gamma 90.00
loop_
_atom_site_label
_atom_site_type_symbol
_atom_site_fract_x
_atom_site_fract_y
_atom_site_fract_z
_atom_site_occupancy
Ca1 Ca 0.000 0.000 0.000 1
Bi1 Bi 0.500 0.500 0.500 1
Te1 Te 0.000 0.000 0.500 1
N1 N 0.000 0.500 0.000 1
```

# 5
Here is an optimized crystal structure of SrCrW from the Alexandria database. Energies are from PBE.

Cell and atoms, written as CIF:
```
data_SrCrW
_chemical_formula_sum 'Sr4 Cr4 W4'
_symmetry_space_group_name_H-M 'F m m 2'
_symmetry_Int_Tables_number 42
_symmetry_space_group_name_Hall 'F 2 -2'
_cell_length_a 3.308
_cell_length_b 4.977
_cell_length_c 14.587
_cell_angle_alpha 90.00
_cell_angle_beta 90.00
_cell_angle_gamma 90.00
loop_
_atom_site_label
_atom_site_type_symbol
_atom_site_fract_x
_atom_site_fract_y
_atom_site_fract_z
_atom_site_occupancy
Sr1 Sr 0.000 0.000 0.000 1
Cr1 Cr 0.000 0.000 0.314 1
W1 W 0.000 0.000 0.698 1
```

# 6
Here is an optimized crystal structure of SrGaO2 from the Alexandria database. Energies are from PBE.

Cell and atoms, written as CIF:
```
data_SrGaO2
_chemical_formula_sum 'Sr4 Ga4 O8'
_symmetry_space_group_name_H-M 'I -4 2 d'
_symmetry_Int_Tables_number 122
_symmetry_space_group_name_Hall 'I -4 2bw'
_cell_length_a 5.204
_cell_length_b 5.204
_cell_length_c 10.466
_cell_angle_alpha 90.00
_cell_angle_beta 90.00
_cell_angle_gamma 90.00
loop_
_atom_site_label
_atom_site_type_symbol
_atom_site_fract_x
_atom_site_fract_y
_atom_site_fract_z
_atom_site_occupancy
Sr1 Sr 0.000 0.000 0.000 1
Ga1 Ga 0.000 0.000 0.500 1
O1 O 0.185 0.250 0.625 1
```

Number 1: total energy -3.2923 eV per atom. Number 2: total energy -8.2275 eV per atom. Number 3: total energy -8.1839 eV per atom. Number 4: total energy -4.0151 eV per atom. Number 5: total energy -7.0215 eV per atom. Number 6: total energy -5.4945 eV per atom.